(1)
This record from Alexandria via LeMat-Bulk describes BaMg2Cl after structural relaxation. The functional is PBE.

Output
Fermi-level density of states: 6.7 states/eV/cell
Raw formation energy: -0.4751 eV/atom
Crystal system: tetragonal
VASP energy: -2.21 eV per atom
Volume: 128.0 Å³/f.u.

Cell and atoms, written as CIF:
```
data_BaMg2Cl
_symmetry_space_group_name_H-M 'I -4 m 2'
_symmetry_Int_Tables_number 119
_symmetry_space_group_name_Hall 'I -4 -2'
_cell_length_a 5.247
_cell_length_b 5.247
_cell_length_c 9.302
_cell_angle_alpha 90.00
_cell_angle_beta 90.00
_cell_angle_gamma 90.00
loop_
_atom_site_label
_atom_site_type_symbol
_atom_site_fract_x
_atom_site_fract_y
_atom_site_fract_z
_atom_site_occupancy
Ba1 Ba 0.000 0.000 0.000 1
Mg1 Mg 0.000 0.000 0.500 1
Mg2 Mg 0.000 0.500 0.250 1
Cl1 Cl 0.000 0.500 0.750 1
```

---

(2)
This record from Alexandria via LeMat-Bulk describes In2CuNiAu after structural relaxation. The functional is PBE.

Output
Fermi-level density of states: 3.3 states/eV/cell
Crystal system: tetragonal
VASP energy: -2.88 eV per atom
E_form: 845 meV/atom
Volume: 115.0 Å³/f.u.

Cell and atoms, written as CIF:
```
data_In2CuNiAu
_symmetry_space_group_name_H-M 'P 4/m m m'
_symmetry_Int_Tables_number 123
_symmetry_space_group_name_Hall '-P 4 2'
_cell_length_a 4.980
_cell_length_b 4.980
_cell_length_c 4.638
_cell_angle_alpha 90.00
_cell_angle_beta 90.00
_cell_angle_gamma 90.00
loop_
_atom_site_label
_atom_site_type_symbol
_atom_site_fract_x
_atom_site_fract_y
_atom_site_fract_z
_atom_site_occupancy
In1 In 0.000 0.500 0.000 1
Cu1 Cu 0.000 0.000 0.500 1
Ni1 Ni 0.500 0.500 0.500 1
Au1 Au 0.000 0.000 0.000 1
```

---

(3)
This record from Alexandria via LeMat-Bulk describes FeHgRu after structural relaxation. The functional is PBE.

Output
Fermi-level density of states: 9.1 states/eV/cell
Crystal system: cubic
VASP energy: -5.30 eV per atom
E_form: 712 meV/atom
Volume: 53.5 Å³/f.u.

Cell and atoms, written as CIF:
```
data_FeHgRu
_symmetry_space_group_name_H-M 'F -4 3 m'
_symmetry_Int_Tables_number 216
_symmetry_space_group_name_Hall 'F -4 2 3'
_cell_length_a 5.982
_cell_length_b 5.982
_cell_length_c 5.982
_cell_angle_alpha 90.00
_cell_angle_beta 90.00
_cell_angle_gamma 90.00
loop_
_atom_site_label
_atom_site_type_symbol
_atom_site_fract_x
_atom_site_fract_y
_atom_site_fract_z
_atom_site_occupancy
Fe1 Fe 0.000 0.000 0.000 1
Hg1 Hg 0.250 0.250 0.750 1
Ru1 Ru 0.250 0.250 0.250 1
```

---

(4)
This record from Alexandria via LeMat-Bulk describes YHf2Ru after structural relaxation. The functional is PBE.

Output
Fermi-level density of states: 20.9 states/eV/cell
Crystal system: cubic
VASP energy: -8.87 eV per atom
E_form: 46 meV/atom
Volume: 81.0 Å³/f.u.

Cell and atoms, written as CIF:
```
data_YHf2Ru
_symmetry_space_group_name_H-M 'F m -3 m'
_symmetry_Int_Tables_number 225
_symmetry_space_group_name_Hall '-F 4 2 3'
_cell_length_a 6.868
_cell_length_b 6.868
_cell_length_c 6.868
_cell_angle_alpha 90.00
_cell_angle_beta 90.00
_cell_angle_gamma 90.00
loop_
_atom_site_label
_atom_site_type_symbol
_atom_site_fract_x
_atom_site_fract_y
_atom_site_fract_z
_atom_site_occupancy
Y1 Y 0.000 0.000 0.000 1
Hf1 Hf 0.250 0.250 0.250 1
Ru1 Ru 0.000 0.000 0.500 1
```